Computed, not measured: a geometry-optimized Ti3CoCu2P6O24 structure at the PBE+U level of DFT.

Cell lengths 8.5682, 8.5682, 8.5682 Å; angles 60.40, 60.40, 60.40 degrees
Closest atoms and distances in Å follow each position.
Fractional coordinates of all 36 atoms:
P  0.9573  0.5432  0.2485  4 O 1.54-1.55
P  0.2485  0.9573  0.5432  4 O 1.54-1.55
P  0.0419  0.4602  0.7517  4 O 1.52-1.56
P  0.4602  0.7517  0.0419  4 O 1.52-1.56
P  0.7517  0.0419  0.4602  4 O 1.52-1.56
P  0.5432  0.2485  0.9573  4 O 1.54-1.55
O  0.0008  0.3777  0.1898  1 P 1.55
O  0.4927  0.3166  0.1184  1 P 1.55
O  0.1184  0.4927  0.3166  1 P 1.55
O  0.6169  0.8104  0.0098  1 P 1.52
O  0.8104  0.0098  0.6169  1 P 1.52
O  0.8786  0.5051  0.6886  1 P 1.55
O  0.9159  0.0528  0.2652  1 P 1.56
O  0.7341  0.0851  0.9486  1 P 1.54
O  0.5576  0.4136  0.7640  1 P 1.55
O  0.3777  0.1898  0.0008  1 P 1.55
O  0.0851  0.9486  0.7341  1 P 1.54
O  0.5873  0.2360  0.4358  1 P 1.56
O  0.2652  0.9159  0.0528  1 P 1.56
O  0.3166  0.1184  0.4927  1 P 1.55
O  0.9486  0.7341  0.0851  1 P 1.54
O  0.1898  0.0008  0.3777  1 P 1.55
O  0.0528  0.2652  0.9159  1 P 1.56
O  0.4358  0.5873  0.2360  1 P 1.56
O  0.2360  0.4358  0.5873  1 P 1.56
O  0.7640  0.5576  0.4136  1 P 1.55
O  0.4136  0.7640  0.5576  1 P 1.55
O  0.6886  0.8786  0.5051  1 P 1.55
O  0.5051  0.6886  0.8786  1 P 1.55
O  0.0098  0.6169  0.8104  1 P 1.52
Ti  0.3567  0.3567  0.3567  6 O 1.89-2.01
Ti  0.1420  0.1420  0.1420  6 O 1.90-2.02
Ti  0.6433  0.6433  0.6433  6 O 1.89-2.04
Cu  0.4993  0.4993  0.4993  6 O 2.25
Cu  0.9978  0.9978  0.9978  6 O 2.19-2.26
Co  0.8566  0.8566  0.8566  6 O 1.93-2.06

Calculated values
* E_tot: -0.5435 Ry per atom
* volume: 12.47 Å³/atom
* M_tot: 5.00 Bohr magnetons per cell
* density of states at the Fermi level: 13.36 states/eV/cell